No. 1
Below is crystalline LiB3N3 at its relaxed geometry, with properties calculated at the PBE level.

a b c (Å): 4.567 4.567 4.567
angles (deg): 90.00 90.00 90.00
Atoms (fractional coordinates):
N 0.250 0.500 0.000
B 0.500 0.250 0.000
Li 0.500 0.500 0.500
Li 0.000 0.000 0.000
N 0.750 0.500 0.000
N 0.000 0.250 0.500
B 0.500 0.750 0.000
B 0.250 0.000 0.500
N 0.000 0.750 0.500
B 0.000 0.500 0.750
B 0.750 0.000 0.500
N 0.500 0.000 0.750
N 0.500 0.000 0.250
B 0.000 0.500 0.250

Calculated values
As for the formation energy from raw total energies: -0.287 eV per atom. As for the final energy: -97.857 eV for the cell shown.

***

No. 2
Below is crystalline Zn5Cd2Pd2Pt at its relaxed geometry, with properties calculated at the PBE level.

a b c (Å): 3.700 9.522 9.522
angles (deg): 90.00 90.00 90.00
Atoms (fractional coordinates):
Pd 0.000 0.872 0.372
Zn 0.500 0.311 0.571
Zn 0.500 0.811 0.929
Pd 0.000 0.128 0.628
Zn 0.500 0.429 0.311
Zn 0.500 0.689 0.429
Cd 0.000 0.670 0.170
Zn 0.500 0.000 0.500
Pt 0.000 0.500 0.500
Cd 0.000 0.830 0.670
Zn 0.500 0.189 0.071
Pd 0.000 0.372 0.128
Cd 0.000 0.170 0.330
Pt 0.000 0.000 0.000
Zn 0.500 0.929 0.189
Zn 0.500 0.071 0.811
Pd 0.000 0.628 0.872
Zn 0.500 0.571 0.689
Cd 0.000 0.330 0.830
Zn 0.500 0.500 0.000

Calculated values
As for the final energy: -55.351 eV for the cell shown. The calculation puts the formation energy at -305 meV/atom.

***

No. 3
Below is crystalline Pm5Mg4Ga4 at its relaxed geometry, with properties calculated at the PBE level.

a b c (Å): 4.468 8.841 8.841
angles (deg): 86.34 75.36 75.36
Atoms (fractional coordinates):
Pm 0.702 0.928 0.668
Ga 0.748 0.312 0.191
Ga 0.252 0.688 0.809
Pm 0.370 0.332 0.928
Mg 0.894 0.523 0.688
Ga 0.939 0.809 0.312
Mg 0.417 0.688 0.477
Pm 0.630 0.668 0.072
Mg 0.106 0.477 0.312
Pm 0.298 0.072 0.332
Ga 0.061 0.191 0.688
Pm 0.000 0.000 0.000
Mg 0.583 0.312 0.523

Calculated values
As for the final energy: -47.442 eV for the cell shown. The calculation puts the formation energy at -400 meV/atom.

***

No. 4
Below is crystalline La4TbPr2Mg at its relaxed geometry, with properties calculated at the PBE level.

a b c (Å): 5.163 5.170 11.552
angles (deg): 63.41 90.01 89.99
Atoms (fractional coordinates):
La 0.000 0.748 0.753
Pr 0.000 0.000 0.000
Tb 0.000 0.500 0.500
La 0.000 0.252 0.247
Pr 0.500 0.000 0.500
Mg 0.500 0.500 0.000
La 0.500 0.248 0.753
La 0.500 0.752 0.247

Calculated values
As for the final energy: -35.511 eV for the cell shown. The calculation puts the formation energy at -2 meV/atom.

***

No. 5
Below is crystalline Pm4GaNi at its relaxed geometry, with properties calculated at the PBE level.

a b c (Å): 4.906 4.908 7.228
angles (deg): 89.87 89.93 90.00
Atoms (fractional coordinates):
Pm 0.002 0.498 0.735
Pm 0.502 0.998 0.735
Ni 0.001 0.997 0.498
Pm 0.001 0.497 0.262
Pm 0.501 0.997 0.262
Ga 0.501 0.497 0.998

Calculated values
As for the final energy: -28.647 eV for the cell shown. The calculation puts the formation energy at -139 meV/atom.